The following is a DFT calculation (PBE) of a relaxed structure of Nd6Te3As2Br.

abc: 4.357 8.884 9.853
angles: 103.12 102.77 90.00
Sites, in units of the cell vectors:
Nd1 0.327 0.884 0.654
Nd2 0.674 0.568 0.347
Nd3 0.673 0.116 0.346
Nd4 0.013 0.261 0.027
Nd5 0.987 0.739 0.973
Nd6 0.326 0.432 0.653
Te1 0.500 0.500 0.000
Te2 0.840 0.164 0.680
Te3 0.160 0.836 0.320
As1 0.831 0.664 0.663
As2 0.169 0.336 0.337
Br1 0.500 0.000 0.000

Computed properties:
total magnetization: 0.00 μB per formula unit
energy relative to the elements, uncorrected: -1450 meV/atom
symmetry: No. 12
calculated volume: 30.14 A^3/atom
density of states at the Fermi level: 5.7 states/eV per cell

***

The following is a DFT calculation (PBE) of a relaxed structure of Nd4Te2AsBr.

abc: 4.335 7.648 7.676
angles: 71.37 90.00 90.00
Sites, in units of the cell vectors:
Nd1 0.000 0.733 0.732
Nd2 0.000 0.267 0.268
Nd3 0.500 0.722 0.277
Nd4 0.500 0.278 0.723
Te1 0.000 0.000 0.000
Te2 0.500 0.000 0.500
As1 0.000 0.500 0.500
Br1 0.500 0.500 0.000

Computed properties:
total magnetization: 0.00 μB per formula unit
energy relative to the elements, uncorrected: -1400 meV/atom
symmetry: No. 10
calculated volume: 30.14 A^3/atom
density of states at the Fermi level: 3.5 states/eV per cell